## SmPa3C4N12 (GGA-PBE)

Data for a geometry-optimized SmPa3C4N12 structure.

Unit cell a=10.1083 b=10.1083 c=8.7497 alpha=90.00 beta=90.00 gamma=120.00
Space group R32 (No. 155, hexagonal axes)
One atom of each set of equivalent atoms:
Sm  0.0000  0.0000  0.0000 [3 per cell]
Pa  0.0000  0.5318  0.0000 [9 per cell]
C  0.0000  0.0000  0.5000 [3 per cell]
C  0.0000  0.4639  0.5000 [9 per cell]
N  0.0000  0.5995  0.5000 [9 per cell]
N  0.0000  0.8658  0.5000 [9 per cell]
N  0.0009  0.1993  0.1736 [18 per cell]

Results
Magnetic moment   0.00 μB per formula unit
E   -547.94 eV per cell
Crystal system   trigonal
Density of states at the Fermi level   10.9 states/eV/f.u.
Formation energy (no corrections)   -0.632 eV per atom